Entry from the Alexandria database: a relaxed KGe3W crystal (PBE-GGA).

Cell: 5.020 5.020 5.020 Å, 90.00 90.00 90.00°
Sites, in units of the cell vectors:
1 K 0.000 0.000 0.000
2 Ge 0.000 0.000 0.500
3 Ge 0.000 0.500 0.000
4 Ge 0.500 0.000 0.000
5 W 0.500 0.500 0.500

## Properties
* calculated formation energy: 13.03 eV per formula unit
* E above lowest polymorph: 12.39 eV/f.u.


Entry from the Alexandria database: a relaxed KGe2W crystal (PBE-GGA).

Cell: 6.813 6.813 6.813 Å, 90.00 90.00 90.00°
Sites, in units of the cell vectors:
1 K 0.000 0.000 0.000
2 K 0.000 0.500 0.500
3 K 0.500 0.000 0.500
4 K 0.500 0.500 0.000
5 Ge 0.250 0.250 0.250
6 Ge 0.250 0.250 0.750
7 Ge 0.250 0.750 0.250
8 Ge 0.250 0.750 0.750
9 Ge 0.750 0.250 0.250
10 Ge 0.750 0.250 0.750
11 Ge 0.750 0.750 0.250
12 Ge 0.750 0.750 0.750
13 W 0.000 0.000 0.500
14 W 0.000 0.500 0.000
15 W 0.500 0.000 0.000
16 W 0.500 0.500 0.500

## Properties
* calculated formation energy: 3.69 eV per formula unit
* E above lowest polymorph: 1.69 eV/f.u.


Entry from the Alexandria database: a relaxed KGeW2 crystal (PBE-GGA).

Cell: 4.843 4.843 18.615 Å, 90.00 90.00 90.00°
Sites, in units of the cell vectors:
1 K 0.000 0.000 0.000
2 K 0.000 0.500 0.250
3 K 0.500 0.000 0.750
4 K 0.500 0.500 0.500
5 Ge 0.000 0.000 0.500
6 Ge 0.000 0.500 0.750
7 Ge 0.500 0.000 0.250
8 Ge 0.500 0.500 0.000
9 W 0.025 0.250 0.625
10 W 0.250 0.525 0.875
11 W 0.250 0.975 0.375
12 W 0.475 0.250 0.125
13 W 0.525 0.750 0.125
14 W 0.750 0.025 0.375
15 W 0.750 0.475 0.875
16 W 0.975 0.750 0.625

## Properties
* calculated formation energy: 5.80 eV per formula unit


Entry from the Alexandria database: a relaxed K2YGe2 crystal (PBE-GGA).

Cell: 4.338 4.338 14.961 Å, 90.00 90.00 90.00°
Sites, in units of the cell vectors:
1 K 0.000 0.500 0.250
2 K 0.000 0.500 0.750
3 K 0.500 0.000 0.250
4 K 0.500 0.000 0.750
5 Y 0.000 0.000 0.000
6 Y 0.500 0.500 0.500
7 Ge 0.000 0.000 0.418
8 Ge 0.000 0.000 0.582
9 Ge 0.500 0.500 0.082
10 Ge 0.500 0.500 0.918

## Properties
* calculated formation energy: -0.27 eV per formula unit
* E above lowest polymorph: 0.00 eV/f.u.


Entry from the Alexandria database: a relaxed KYGe crystal (PBE-GGA).

Cell: 4.206 5.558 11.167 Å, 85.14 79.65 67.88°
Sites, in units of the cell vectors:
1 K 0.215 0.244 0.343
2 K 0.785 0.756 0.657
3 Y 0.403 0.279 0.913
4 Y 0.597 0.721 0.087
5 Ge 0.118 0.853 0.905
6 Ge 0.882 0.147 0.095

## Properties
* calculated formation energy: -0.77 eV per formula unit
* E above lowest polymorph: 0.37 eV/f.u.


Entry from the Alexandria database: a relaxed KYGe crystal (PBE-GGA).

Cell: 7.609 4.824 10.017 Å, 90.00 90.00 90.00°
Sites, in units of the cell vectors:
1 K 0.125 0.250 0.059
2 K 0.375 0.750 0.559
3 K 0.625 0.250 0.441
4 K 0.875 0.750 0.941
5 Y 0.040 0.250 0.654
6 Y 0.460 0.750 0.154
7 Y 0.540 0.250 0.846
8 Y 0.960 0.750 0.346
9 Ge 0.175 0.250 0.379
10 Ge 0.325 0.750 0.879
11 Ge 0.675 0.250 0.121
12 Ge 0.825 0.750 0.621

## Properties
* calculated formation energy: -0.38 eV per formula unit
* E above lowest polymorph: 0.77 eV/f.u.


Entry from the Alexandria database: a relaxed K2Y2Ge crystal (PBE-GGA).

Cell: 7.903 7.903 5.557 Å, 90.00 90.00 90.00°
Sites, in units of the cell vectors:
1 K 0.130 0.370 0.000
2 K 0.370 0.870 0.000
3 K 0.630 0.130 0.000
4 K 0.870 0.630 0.000
5 Y 0.189 0.689 0.500
6 Y 0.311 0.189 0.500
7 Y 0.689 0.811 0.500
8 Y 0.811 0.311 0.500
9 Ge 0.000 0.000 0.000
10 Ge 0.500 0.500 0.000

## Properties
* calculated formation energy: 3.56 eV per formula unit
* E above lowest polymorph: 0.28 eV/f.u.


Entry from the Alexandria database: a relaxed KYGe crystal (PBE-GGA).

Cell: 4.307 3.910 13.432 Å, 90.00 90.29 90.00°
Sites, in units of the cell vectors:
1 K 0.245 0.250 0.153
2 K 0.755 0.750 0.847
3 Y 0.252 0.750 0.592
4 Y 0.748 0.250 0.408
5 Ge 0.248 0.750 0.369
6 Ge 0.752 0.250 0.631

## Properties
* calculated formation energy: -1.14 eV per formula unit
* E above lowest polymorph: 0.01 eV/f.u.


Entry from the Alexandria database: a relaxed KYGe crystal (PBE-GGA).

Cell: 3.840 3.876 14.209 Å, 89.98 89.01 89.96°
Sites, in units of the cell vectors:
1 K 0.000 0.000 0.000
2 K 0.497 0.499 0.294
3 Y 0.025 0.003 0.751
4 Y 0.980 0.000 0.527
5 Ge 0.511 0.502 0.636
6 Ge 0.517 0.503 0.830

## Properties
* calculated formation energy: -0.65 eV per formula unit
* E above lowest polymorph: 0.50 eV/f.u.


Entry from the Alexandria database: a relaxed KYGe crystal (PBE-GGA).

Cell: 5.253 5.253 7.646 Å, 90.00 90.00 90.00°
Sites, in units of the cell vectors:
1 K 0.250 0.250 0.114
2 K 0.750 0.750 0.886
3 Y 0.250 0.750 0.500
4 Y 0.750 0.250 0.500
5 Ge 0.250 0.250 0.668
6 Ge 0.750 0.750 0.332

## Properties
* calculated formation energy: -1.15 eV per formula unit
* E above lowest polymorph: 0.00 eV/f.u.


Entry from the Alexandria database: a relaxed K2YGe crystal (PBE-GGA).

Cell: 12.366 12.366 5.544 Å, 90.00 90.00 90.00°
Sites, in units of the cell vectors:
1 K 0.107 0.250 0.125
2 K 0.250 0.607 0.375
3 K 0.250 0.893 0.875
4 K 0.393 0.250 0.625
5 K 0.607 0.750 0.625
6 K 0.750 0.107 0.875
7 K 0.750 0.393 0.375
8 K 0.893 0.750 0.125
9 Y 0.000 0.000 0.500
10 Y 0.000 0.500 0.750
11 Y 0.500 0.000 0.250
12 Y 0.500 0.500 0.000
13 Ge 0.000 0.000 0.000
14 Ge 0.000 0.500 0.250
15 Ge 0.500 0.000 0.750
16 Ge 0.500 0.500 0.500

## Properties
* calculated formation energy: 1.03 eV per formula unit


Entry from the Alexandria database: a relaxed KYGe crystal (PBE-GGA).

Cell: 4.104 4.104 13.707 Å, 81.76 81.48 90.00°
Sites, in units of the cell vectors:
1 K 0.000 0.000 0.000
2 K 0.343 0.331 0.309
3 Y 0.125 0.622 0.746
4 Y 0.716 0.209 0.563
5 Ge 0.235 0.728 0.522
6 Ge 0.605 0.103 0.786

## Properties
* calculated formation energy: -1.13 eV per formula unit
* E above lowest polymorph: 0.02 eV/f.u.